No. 1
6
Lattice="5.310 0.000 0.000 2.655 4.598 0.000 2.655 1.533 4.335" Properties=species:S:1:pos:R:3 comment="CaCeCu4 | Alexandria | PBE | optimized geometry" sg=F-43m crystal_system=cubic polymorph_energy_mev_per_atom=41 e_form_ev_per_atom=-0.05 dos_ef_per_ev_atom=1.3950 pbc="T T T"
Ca 0.000 0.000 0.000
Cu 5.310 3.066 0.525
Cu 5.310 1.517 2.715
Cu 6.651 3.840 2.715
Cu 3.968 3.840 2.715
Ce 2.655 1.533 1.084

No. 2
6
Lattice="-0.467 5.575 0.304 -3.533 4.125 1.378 0.878 3.176 6.795" Properties=species:S:1:pos:R:3 comment="Sc2Se | Alexandria | PBE | optimized geometry" sg=C2/m crystal_system=monoclinic raw_formation_energy_mev_per_atom=-1007 dos_ef_per_ev_atom=0.9938 pbc="T T T"
Sc 0.681 3.445 6.596
Sc -0.980 4.263 2.960
Sc -2.261 6.839 2.782
Sc -3.045 10.834 5.940
Se -1.999 8.157 5.310
Se -0.365 6.122 7.226

No. 3
5
Lattice="-2.567 -0.211 4.489 -3.461 -3.086 -2.124 2.804 -4.115 1.410" Properties=species:S:1:pos:R:3 comment="BeSn2IrAu | Alexandria | PBE | optimized geometry" sg=P4/mmm crystal_system=tetragonal e_form_ev_per_atom=1.41 dos_ef_per_ev_atom=0.9746 pbc="T T T"
Be -1.612 -3.706 1.888
Ir -1.731 -1.543 -1.062
Au 0.000 0.000 0.000
Sn 1.402 -2.058 0.705
Sn -1.283 -0.105 2.245

No. 4
5
Lattice="4.904 0.000 0.000 0.000 4.904 0.000 0.000 0.000 4.845" Properties=species:S:1:pos:R:3 comment="LiCaHg2Au | Alexandria | PBE | optimized geometry" sg=P4/mmm crystal_system=tetragonal e_form_ev_per_atom=-0.30 dos_ef_per_ev_atom=0.4459 pbc="T T T"
Ca 2.452 2.452 2.423
Au 0.000 0.000 2.423
Hg 0.000 2.452 0.000
Hg 2.452 0.000 0.000
Li 0.000 0.000 0.000

No. 5
5
Lattice="-0.654 -0.159 -3.391 -2.696 -2.074 0.618 -7.525 6.715 -0.626" Properties=species:S:1:pos:R:3 comment="Ni2BiPb2 | Alexandria | PBE | optimized geometry" sg=I4/mmm crystal_system=tetragonal polymorph_energy_mev_per_atom=0 e_form_ev_per_atom=0.20 dos_ef_per_ev_atom=0.8359 pbc="T T T"
Pb -3.312 1.075 -1.174
Pb -7.563 3.407 -2.226
Ni -4.927 2.719 -2.702
Ni -5.948 1.762 -0.698
Bi 0.000 0.000 0.000

No. 6
12
Lattice="-0.736 -4.731 2.740 -0.002 -5.260 -3.528 12.615 -4.436 1.282" Properties=species:S:1:pos:R:3 comment="Tb4Pr5Er3 | Alexandria | PBE | optimized geometry" sg=C2/m crystal_system=monoclinic e_form_ev_per_atom=0.24 dos_ef_per_ev_atom=1.3967 pbc="T T T"
Tb 9.027 -4.443 0.305
Tb 9.335 -8.003 -0.205
Tb 2.543 -6.424 0.698
Tb 2.851 -9.983 0.188
Pr 10.493 -11.641 -0.622
Pr 5.939 -7.213 0.247
Pr 0.283 -4.419 -2.000
Pr 11.594 -10.008 2.493
Pr 1.385 -2.785 1.116
Er 4.786 -3.336 1.078
Er 6.307 -4.848 -1.123
Er 7.092 -11.090 -0.584

No. 7
6
Lattice="-1.168 -2.235 -3.454 2.612 -1.972 0.393 -3.085 -3.106 4.914" Properties=species:S:1:pos:R:3 comment="TaNiMo | Alexandria | PBE | optimized geometry" sg=Pm crystal_system=monoclinic polymorph_energy_mev_per_atom=124 e_form_ev_per_atom=0.03 dos_ef_per_ev_atom=1.0968 pbc="T T T"
Ta 0.173 -2.334 0.959
Ta -2.917 -2.979 4.437
Ni -2.344 -2.805 1.503
Ni -1.604 -2.316 -0.959
Mo -1.547 -4.793 0.056
Mo -2.210 -5.098 2.930

No. 8
4
Lattice="5.873 0.000 0.000 2.937 5.087 0.000 2.937 1.696 4.796" Properties=species:S:1:pos:R:3 comment="RbSrHgSb | Alexandria | PBE | optimized geometry" sg=F-43m crystal_system=cubic raw_formation_energy_mev_per_atom=-576 pbc="T T T"
Sb 0.000 0.000 0.000
Hg 5.873 3.391 2.398
Rb 2.937 1.696 1.199
Sr 8.810 5.087 3.597

No. 9
4
Lattice="-1.221 2.938 -1.164 -1.416 -1.624 -2.614 -6.386 -1.030 4.098" Properties=species:S:1:pos:R:3 comment="TmMgScTc | Alexandria | PBE | optimized geometry" sg=P4mm crystal_system=tetragonal polymorph_energy_mev_per_atom=0 e_form_ev_per_atom=-0.16 dos_ef_per_ev_atom=1.1338 pbc="T T T"
Tm -6.251 -0.139 1.276
Mg -0.572 -0.092 0.367
Sc -3.676 0.276 -0.376
Tc -3.535 -0.570 2.269

No. 10
4
Lattice="3.404 0.031 0.000 -0.034 3.404 0.000 0.000 0.000 8.541" Properties=species:S:1:pos:R:3 comment="FeTe2Pb | Alexandria | PBE | optimized geometry" sg=P4/mmm crystal_system=tetragonal raw_formation_energy_mev_per_atom=226 dos_ef_per_ev_atom=0.8557 pbc="T T T"
Fe 1.685 1.717 2.135
Pb 1.685 1.717 6.406
Te 0.000 0.000 0.554
Te 0.000 0.000 3.716

No. 11
4
Lattice="6.720 0.032 0.020 5.517 3.837 0.020 5.517 1.744 3.418" Properties=species:S:1:pos:R:3 comment="LiSe3 | Alexandria | PBE | optimized geometry" sg=R-3m crystal_system=trigonal polymorph_energy_mev_per_atom=265 raw_formation_energy_mev_per_atom=-178 dos_ef_per_ev_atom=0.7957 pbc="T T T"
Li 0.000 0.000 0.000
Se 13.371 4.227 2.604
Se 8.878 2.807 1.729
Se 4.384 1.386 0.854

No. 12
7
Lattice="-2.279 1.998 3.054 -2.826 0.571 -2.483 -1.167 -9.214 2.127" Properties=species:S:1:pos:R:3 comment="Sm3Cu3Ni | Alexandria | PBE | optimized geometry" sg=Imm2 crystal_system=orthorhombic e_form_ev_per_atom=-0.25 dos_ef_per_ev_atom=0.8104 pbc="T T T"
Sm -3.807 -4.817 0.311
Sm -2.512 -1.926 2.417
Sm -6.247 -6.589 2.682
Cu -2.439 -1.900 -0.576
Cu -3.837 -4.751 3.277
Cu -3.028 0.270 0.594
Ni -3.221 -6.865 2.089

No. 13
5
Lattice="-2.902 1.210 -0.961 0.758 -0.667 -3.129 -2.227 -4.935 0.513" Properties=species:S:1:pos:R:3 comment="AgSN2O | Alexandria | PBE | optimized geometry" sg=P4/mmm crystal_system=tetragonal raw_formation_energy_mev_per_atom=1342 dos_ef_per_ev_atom=0.5164 pbc="T T T"
S 0.000 0.000 0.000
O -1.113 -2.467 0.257
Ag -2.186 -2.196 -1.788
N 0.379 -0.334 -1.564
N -1.451 0.605 -0.480

No. 14
5
Lattice="4.611 0.000 0.000 0.000 4.611 0.000 0.000 0.000 4.611" Properties=species:S:1:pos:R:3 comment="LaCrIr3 | Alexandria | PBE | optimized geometry" sg=Pm-3m crystal_system=cubic polymorph_energy_mev_per_atom=0 e_form_ev_per_atom=0.21 dos_ef_per_ev_atom=0.9218 pbc="T T T"
Cr 0.000 0.000 0.000
Ir 0.000 2.306 0.000
Ir 0.000 0.000 2.306
Ir 2.306 0.000 0.000
La 2.306 2.306 2.306

No. 15
5
Lattice="4.947 0.000 0.000 0.000 4.947 0.000 2.474 2.474 6.152" Properties=species:S:1:pos:R:3 comment="Sn2BrCl2 | Alexandria | PBE | optimized geometry" sg=I4/mmm crystal_system=tetragonal polymorph_energy_mev_per_atom=86 raw_formation_energy_mev_per_atom=-528 dos_ef_per_ev_atom=0.4337 pbc="T T T"
Sn 2.474 2.474 1.625
Sn 4.947 4.947 4.527
Br 0.000 0.000 0.000
Cl 4.947 2.474 3.076
Cl 2.474 4.947 3.076

No. 16
4
Lattice="0.000 3.016 3.016 3.016 0.000 3.016 3.016 3.016 0.000" Properties=species:S:1:pos:R:3 comment="BePt2S | Alexandria | PBE | optimized geometry" sg=Fm-3m crystal_system=cubic polymorph_energy_mev_per_atom=286 raw_formation_energy_mev_per_atom=145 dos_ef_per_ev_atom=0.6890 pbc="T T T"
Be 0.000 0.000 0.000
S 3.016 3.016 3.016
Pt 1.508 1.508 1.508
Pt 4.524 4.524 4.524

No. 17
5
Lattice="-2.919 -1.725 3.517 1.859 -4.471 -0.651 3.449 0.949 3.327" Properties=species:S:1:pos:R:3 comment="CaCu3Sb | Alexandria | PBE | optimized geometry" sg=Pm-3m crystal_system=cubic polymorph_energy_mev_per_atom=0 raw_formation_energy_mev_per_atom=281 dos_ef_per_ev_atom=0.7081 pbc="T T T"
Sb 0.000 0.000 0.000
Ca 1.194 -2.623 3.097
Cu 0.929 -2.235 -0.325
Cu 1.724 0.475 1.664
Cu -1.459 -0.863 1.759

No. 18
12
Lattice="-3.951 -2.274 4.322 -2.968 -6.063 -5.905 6.541 0.284 6.130" Properties=species:S:1:pos:R:3 comment="NaTl3Sn2 | Alexandria | PBE | optimized geometry" sg=Cmcm crystal_system=orthorhombic polymorph_energy_mev_per_atom=33 e_form_ev_per_atom=-0.03 dos_ef_per_ev_atom=0.4693 pbc="T T T"
Na 2.277 -2.472 3.064
Na -2.655 -5.582 1.483
Tl 2.233 -2.320 7.669
Tl -0.426 -2.034 5.389
Tl -1.756 -3.103 -0.956
Tl 1.378 -4.951 5.503
Tl 0.048 -6.021 -0.842
Tl -2.611 -5.734 -3.122
Sn 0.972 -1.573 0.061
Sn -1.003 -2.710 2.222
Sn 2.601 -4.207 0.164
Sn 0.625 -5.344 2.325

No. 19
8
Lattice="6.831 0.000 0.000 0.000 6.831 0.000 3.415 3.415 5.524" Properties=species:S:1:pos:R:3 comment="CdIn2S | Alexandria | PBE | optimized geometry" sg=I-42d crystal_system=tetragonal polymorph_energy_mev_per_atom=97 raw_formation_energy_mev_per_atom=-72 dos_ef_per_ev_atom=0.0262 pbc="T T T"
S 3.415 3.415 0.000
S 3.415 6.831 2.762
Cd 0.000 0.000 0.000
Cd 6.831 3.415 2.762
In 4.969 1.708 1.381
In 1.861 5.123 1.381
In 5.123 5.277 4.143
In 8.539 8.385 4.143

No. 20
15
Lattice="6.474 0.000 0.000 -3.237 5.606 0.000 0.000 0.000 8.012" Properties=species:S:1:pos:R:3 comment="Cs3Na2CaF9 | Alexandria | PBE | optimized geometry" sg=P-3m1 crystal_system=trigonal raw_formation_energy_mev_per_atom=-2594 dos_ef_per_ev_atom=1.7142 pbc="T T T"
Cs 0.000 3.738 5.430
Cs 0.000 0.000 0.000
Cs 3.237 1.869 2.582
Na 0.000 3.738 1.399
Na 3.237 1.869 6.613
Ca 0.000 0.000 4.006
F 4.884 0.918 5.318
F 3.237 3.770 5.318
F 1.590 0.918 5.318
F 1.647 4.688 2.694
F 0.000 1.836 2.694
F -1.647 4.688 2.694
F 3.237 0.000 0.000
F -1.618 2.803 0.000
F 1.618 2.803 0.000

No. 21
5
Lattice="-3.054 -0.846 -2.083 -1.647 -1.549 3.044 -2.000 4.388 1.150" Properties=species:S:1:pos:R:3 comment="MgReO2F | Alexandria | PBE | optimized geometry" sg=P4/mmm crystal_system=tetragonal raw_formation_energy_mev_per_atom=-1215 dos_ef_per_ev_atom=0.2014 pbc="T T T"
Re 0.000 0.000 0.000
Mg -3.351 0.996 1.056
O -0.824 -0.774 1.522
O -1.527 -0.423 -1.042
F -1.000 2.194 0.575

No. 22
6
Lattice="-1.622 -2.602 -4.295 5.310 -3.667 0.217 -4.584 -0.636 5.357" Properties=species:S:1:pos:R:3 comment="Pr2TmPb3 | Alexandria | PBE | optimized geometry" sg=Immm crystal_system=orthorhombic polymorph_energy_mev_per_atom=66 e_form_ev_per_atom=-0.41 dos_ef_per_ev_atom=0.8510 pbc="T T T"
Pr -1.765 -2.615 -0.992
Pr 0.869 -4.290 2.271
Tm 2.655 -1.834 0.109
Pb -1.916 -2.636 2.320
Pb 0.000 0.000 0.000
Pb 1.020 -4.269 -1.041

No. 23
12
Lattice="5.985 0.782 -0.285 0.777 5.980 -0.280 -3.640 -3.639 5.878" Properties=species:S:1:pos:R:3 comment="BaNaPd2F8 | Alexandria | PBE | optimized geometry" sg=P1 crystal_system=triclinic raw_formation_energy_mev_per_atom=-2136 dos_ef_per_ev_atom=0.3418 pbc="T T T"
Ba 2.845 0.278 2.656
Na 5.866 0.891 -0.278
Pd -0.222 -0.294 5.594
Pd 0.256 2.865 2.658
F 5.138 4.562 0.963
F 1.017 1.599 1.306
F 1.523 2.102 4.008
F -1.433 -2.013 4.349
F 4.115 1.973 1.001
F 2.221 4.269 1.025
F -1.143 0.899 4.281
F 1.154 -0.994 4.315

No. 24
15
Lattice="6.735 0.000 2.213 3.004 6.028 2.213 -0.208 -0.129 11.991" Properties=species:S:1:pos:R:3 comment="Sm6InBr8 | Alexandria | PBE | optimized geometry" sg=R-3 crystal_system=trigonal raw_formation_energy_mev_per_atom=-1329 dos_ef_per_ev_atom=0.3053 pbc="T T T"
Sm 8.156 3.631 5.376
Sm 4.795 0.219 11.747
Sm 4.624 4.194 12.499
Sm 4.908 1.706 3.917
Sm 4.737 5.680 4.669
Sm 1.375 2.268 11.041
In 0.000 0.000 0.000
Br 6.449 2.525 10.766
Br 6.580 1.254 6.369
Br 6.427 5.330 7.147
Br 3.246 2.009 1.478
Br 6.286 3.891 14.939
Br 3.104 0.569 9.269
Br 2.951 4.646 10.048
Br 3.083 3.375 5.651

No. 25
4
Lattice="5.287 0.000 0.000 2.644 4.579 0.000 2.644 1.526 4.317" Properties=species:S:1:pos:R:3 comment="LaMgZnPb | Alexandria | PBE | optimized geometry" sg=F-43m crystal_system=cubic e_form_ev_per_atom=-0.28 dos_ef_per_ev_atom=1.0184 pbc="T T T"
Pb 5.287 3.053 2.159
Zn 0.000 0.000 0.000
Mg 7.931 4.579 3.238
La 2.644 1.526 1.079

No. 26
5
Lattice="-4.010 -1.566 -1.814 1.944 0.217 -4.486 1.516 -4.396 0.444" Properties=species:S:1:pos:R:3 comment="NaAgGePd2 | Alexandria | PBE | optimized geometry" sg=P4/mmm crystal_system=tetragonal e_form_ev_per_atom=0.96 dos_ef_per_ev_atom=0.6765 pbc="T T T"
Na 0.000 0.000 0.000
Ge 0.972 0.109 -2.243
Pd 0.758 -2.198 0.222
Pd -2.005 -0.783 -0.907
Ag -0.275 -2.872 -2.928